Entry 1:
CaTb2Pt | the Alexandria database | PBE-GGA | optimized geometry; V = 33.98 Å³/atom; energy of formation = -0.5581 eV/atom; crystal system = trigonal; SG = R-3m
1.0
-1.8479 -3.6060 0.6030
2.1890 -3.2480 1.2000
-1.4108 -0.0082 9.5437
Tb Pt Ca
2 1 1
Direct
0.7204 0.7204 0.8388
0.2796 0.2796 0.1612
0.0000 0.0000 0.0000
0.5000 0.5000 0.5000

Entry 2:
Mg2Al2Te | the Alexandria database | PBE-GGA | optimized geometry; V = 22.74 Å³/atom; ΔE_f (raw) = 47 meV/atom; crystal system = tetragonal; SG = P4/mbm
1.0
-3.0887 1.2772 -6.7118
-6.7448 0.6045 3.2189
0.5876 3.9716 0.4854
Mg Te Al
4 2 4
Direct
0.3316 0.1684 0.5000
0.8316 0.3316 0.5000
0.6684 0.8316 0.5000
0.1684 0.6684 0.5000
0.0000 0.0000 0.0000
0.5000 0.5000 0.0000
0.8745 0.6255 0.0000
0.3745 0.8745 0.0000
0.1255 0.3745 0.0000
0.6255 0.1255 0.0000

Table of uncorrected energy (eV per atom), in record order: -4.884; -2.716